P:
# EuTm2In | Alexandria | PBE | optimized geometry
# V, Å³/cell: 115.7
# Density, g/cm³: 8.7
data_EuTm2In
_chemical_formula_sum 'Eu1 Tm2 In1'
_cell_length_a 4.9190
_cell_length_b 4.9190
_cell_length_c 4.7822
_cell_angle_alpha 90.00
_cell_angle_beta 90.00
_cell_angle_gamma 90.00
_space_group_name_H-M_alt 'P 4/m m m'
_space_group_IT_number 123
_space_group_name_Hall '-P 4 2'
loop_
_atom_site_label
_atom_site_fract_x
_atom_site_fract_y
_atom_site_fract_z
Eu1 0.0000 0.0000 0.0000
Tm1 0.0000 0.5000 0.5000
In1 0.5000 0.5000 0.0000

Q:
# EuTm2In | Alexandria | PBE | optimized geometry
# V, Å³/cell: 459.8
# Density, g/cm³: 8.7
data_EuTm2In
_chemical_formula_sum 'Eu4 Tm8 In4'
_cell_length_a 7.7183
_cell_length_b 7.7183
_cell_length_c 7.7183
_cell_angle_alpha 90.00
_cell_angle_beta 90.00
_cell_angle_gamma 90.00
_space_group_name_H-M_alt 'F m -3 m'
_space_group_IT_number 225
_space_group_name_Hall '-F 4 2 3'
loop_
_atom_site_label
_atom_site_fract_x
_atom_site_fract_y
_atom_site_fract_z
Eu1 0.0000 0.0000 0.0000
Tm1 0.2500 0.2500 0.2500
In1 0.0000 0.0000 0.5000

R:
# EuTm2In | Alexandria | PBE | optimized geometry
# V, Å³/cell: 121.7
# Density, g/cm³: 8.3
data_EuTm2In
_chemical_formula_sum 'Eu1 Tm2 In1'
_cell_length_a 3.5938
_cell_length_b 3.5938
_cell_length_c 9.4197
_cell_angle_alpha 90.00
_cell_angle_beta 90.00
_cell_angle_gamma 90.00
_space_group_name_H-M_alt 'P 4/m m m'
_space_group_IT_number 123
_space_group_name_Hall '-P 4 2'
loop_
_atom_site_label
_atom_site_fract_x
_atom_site_fract_y
_atom_site_fract_z
Eu1 0.0000 0.0000 0.0000
Tm1 0.5000 0.5000 0.2891
In1 0.0000 0.0000 0.5000

S:
# EuTm2In | Alexandria | PBE | optimized geometry
# V, Å³/cell: 381.7
# Density, g/cm³: 7.9
data_EuTm2In
_chemical_formula_sum 'Eu3 Tm6 In3'
_cell_length_a 3.5290
_cell_length_b 3.5290
_cell_length_c 35.3857
_cell_angle_alpha 90.00
_cell_angle_beta 90.00
_cell_angle_gamma 120.00
_space_group_name_H-M_alt 'R -3 m'
_space_group_IT_number 166
_space_group_name_Hall '-R 3 2"'
loop_
_atom_site_label
_atom_site_fract_x
_atom_site_fract_y
_atom_site_fract_z
Eu1 0.0000 0.0000 0.0000
Tm1 0.0000 0.0000 0.0972
In1 0.0000 0.0000 0.5000

Most stable: P